Density functional theory data (PBE) for an optimized crystal structure of LiZnW2.

Computed properties:
E   -6.892 eV per atom
Formation energy from the elements   0.38 eV per atom
Density   11.964 Mg/m³

a b c (Å): 5.349 5.349 2.672
angles (deg): 100.02 100.02 121.30
Fractional coordinates of all 4 atoms:
Li (0.000, 0.000, 0.000)
Zn (0.500, 0.500, 0.000)
W (0.000, 0.500, 0.500)
W (0.500, 0.000, 0.500)


Density functional theory data (PBE) for an optimized crystal structure of LiZnW2.

Computed properties:
E   -6.501 eV per atom
Formation energy from the elements   0.77 eV per atom
Density   11.088 Mg/m³

a b c (Å): 10.139 10.139 10.139
angles (deg): 159.16 159.16 29.63
Fractional coordinates of all 8 atoms:
Li (0.000, 0.000, 0.000)
Li (0.750, 0.250, 0.500)
Zn (0.250, 0.750, 0.500)
Zn (0.500, 0.500, 0.000)
W (0.127, 0.625, 0.002)
W (0.375, 0.377, 0.502)
W (0.623, 0.125, 0.998)
W (0.875, 0.873, 0.498)


Density functional theory data (PBE) for an optimized crystal structure of LiZn2W.

Computed properties:
Polymorph energy (0 for the lowest one)   0.056 eV/atom
E   -4.222 eV per atom
Formation energy from the elements   0.13 eV per atom
Density   8.693 Mg/m³

a b c (Å): 9.379 9.379 9.379
angles (deg): 16.99 16.99 16.99
Fractional coordinates of all 4 atoms:
Li (0.000, 0.000, 0.000)
Zn (0.251, 0.251, 0.251)
Zn (0.749, 0.749, 0.749)
W (0.500, 0.500, 0.500)


Density functional theory data (PBE) for an optimized crystal structure of LiZnW2.

Computed properties:
E   -6.990 eV per atom
Formation energy from the elements   0.28 eV per atom
Density   12.080 Mg/m³

a b c (Å): 2.658 4.295 5.358
angles (deg): 90.00 98.55 90.00
Fractional coordinates of all 4 atoms:
Li (0.000, 0.000, 0.000)
Zn (0.055, 0.500, 0.767)
W (0.444, 0.000, 0.495)
W (0.681, 0.500, 0.255)


Density functional theory data (PBE) for an optimized crystal structure of LiZnW2.

Computed properties:
E   -6.892 eV per atom
Formation energy from the elements   0.38 eV per atom
Density   11.982 Mg/m³

a b c (Å): 2.669 4.663 4.961
angles (deg): 90.00 98.98 90.00
Fractional coordinates of all 4 atoms:
Li (0.000, 0.000, 0.000)
Zn (0.500, 0.000, 0.500)
W (0.248, 0.500, 0.751)
W (0.752, 0.500, 0.249)


Density functional theory data (PBE) for an optimized crystal structure of Li2ZnW.

Computed properties:
E   -4.201 eV per atom
Formation energy from the elements   0.31 eV per atom
Density   7.205 Mg/m³

a b c (Å): 2.513 4.817 5.012
angles (deg): 90.00 92.12 90.00
Fractional coordinates of all 4 atoms:
Li (0.150, 0.000, 0.232)
Li (0.850, 0.000, 0.768)
Zn (0.000, 0.500, 0.500)
W (0.500, 0.500, 0.000)


Density functional theory data (PBE) for an optimized crystal structure of Li2ZnW.

Computed properties:
E   -4.308 eV per atom
Formation energy from the elements   0.21 eV per atom
Density   6.903 Mg/m³

a b c (Å): 2.649 2.649 9.192
angles (deg): 90.00 90.00 101.07
Fractional coordinates of all 4 atoms:
Li (0.000, 0.000, 0.000)
Li (0.500, 0.500, 0.280)
Zn (0.500, 0.500, 0.768)
W (0.000, 0.000, 0.530)


Density functional theory data (PBE) for an optimized crystal structure of LiZnW2.

Computed properties:
E   -7.079 eV per atom
Formation energy from the elements   0.19 eV per atom
Density   11.706 Mg/m³

a b c (Å): 2.684 2.684 9.113
angles (deg): 90.00 90.00 108.06
Fractional coordinates of all 4 atoms:
Li (0.000, 0.000, 0.000)
Zn (0.500, 0.500, 0.758)
W (0.000, 0.000, 0.508)
W (0.500, 0.500, 0.259)